Below is a geometry-optimized Sr2CdAs2 structure, with properties calculated at the PBE-GGA level.

Output
DFT formation energy = -545 meV per atom
symmetry = P4/mbm, No. 127
calculated volume = 29.33 A^3/atom

Cell and atoms, written as POSCAR:
```
Sr2CdAs2
1.0
9.121 0.000 0.000
0.000 9.121 0.000
0.000 0.000 3.525
Sr Cd As
4 2 4
Cartesian
1.273 3.288 0.000
3.288 7.848 0.000
5.833 1.273 0.000
7.848 5.833 0.000
0.000 0.000 0.000
4.560 4.560 0.000
1.477 6.037 1.763
3.084 1.477 1.763
6.037 7.644 1.763
7.644 3.084 1.763
```

=====

Below is a geometry-optimized Ho2InPb structure, with properties calculated at the PBE-GGA level.

Output
DFT formation energy = -323 meV per atom
symmetry = R-3m, No. 166
calculated volume = 28.80 A^3/atom

Cell and atoms, written as POSCAR:
```
Ho2InPb
1.0
1.837 1.061 9.852
-1.837 1.061 9.852
0.000 -2.121 9.852
Ho In Pb
2 1 1
Cartesian
0.000 0.000 7.314
0.000 0.000 22.242
0.000 0.000 14.778
0.000 0.000 0.000
```